Compound: Zn4Fe
Source: Alexandria via LeMat-Bulk
Functional: GGA-PBE
Structure: optimized geometry

The structure in POSCAR format:
```
Zn4Fe
1.0
4.639 0.000 0.000
0.000 4.639 0.000
0.000 0.000 4.639
Zn Fe
4 1
Direct
0.500 0.000 0.500 Zn
0.000 0.000 0.000 Zn
0.000 0.500 0.500 Zn
0.500 0.500 0.000 Zn
0.500 0.500 0.500 Fe
```

## Properties
- total magnetization (μB per cell) = 1.842
- symmetry = No. 221
- energy of formation (eV per atom) = 0.608